# 1
VASP calculation (PBE with a Hubbard U) on crystalline MnAuF2 at its relaxed geometry.

Geometry as POSCAR:
```
MnAuF2
1.0
1.793 0.000 9.187
-0.896 1.552 9.187
-0.896 -1.552 9.187
Mn Au F
1 1 2
Cartesian
0.000 0.000 13.781
0.000 0.000 0.000
0.000 0.000 24.076
0.000 0.000 3.486
```

Results
Space-group type = R-3m
ΔE to the lowest computed polymorph = 0.00 eV per formula unit

# 2
VASP calculation (PBE with a Hubbard U) on crystalline MnAuF6 at its relaxed geometry.

Geometry as POSCAR:
```
MnAuF6
1.0
5.164 0.000 0.000
-2.582 4.472 0.000
0.000 0.000 9.605
Mn Au F
2 2 12
Cartesian
0.000 2.981 2.401
2.582 1.491 7.204
0.000 0.000 4.803
0.000 0.000 0.000
0.754 1.654 3.484
1.828 2.817 6.121
-1.526 2.992 3.484
-0.772 4.297 1.318
4.108 1.480 6.121
3.354 0.174 8.287
0.772 4.297 3.484
-0.754 1.654 1.318
1.810 0.174 6.121
3.336 2.817 8.287
1.526 2.992 1.318
1.056 1.480 8.287
```

Results
VASP energy = -69.610 eV for the cell shown
Space-group type = P-31c